[1]
This record from the Alexandria database describes crystalline La7In2Ga2 at its relaxed geometry. The functional is GGA-PBE.

Mass density, g cm⁻³: 6.089
M_tot, μB/atom: 0.000
Total energy, eV per cell: -47.9
Formation energy from the elements, meV/atom: -175.0

The structure in extended XYZ format:
```
11
Lattice="-1.262 5.933 3.416 -7.906 -1.394 -0.499 0.646 -5.273 4.499" Properties=species:S:1:pos:R:3 pbc="T T T"
La -3.389 2.865 5.511
La -5.441 -3.268 5.862
La -5.133 -3.598 1.905
La -3.081 2.535 1.554
La 0.000 0.000 0.000
La -5.957 -0.666 3.601
La -2.565 -0.068 3.815
In -8.605 1.231 3.237
In 0.083 -1.965 4.179
Ga -4.472 -0.141 6.413
Ga -4.050 -0.592 1.003
```


[2]
This record from the Alexandria database describes crystalline La3InGa at its relaxed geometry. The functional is GGA-PBE.

Excess energy over the best structure of this formula in the dataset, meV/atom: 53.2
Mass density, g cm⁻³: 6.445
M_tot, μB/atom: 0.000
Total energy, eV per cell: -90.3
Formation energy from the elements, meV/atom: -403.2

The structure in extended XYZ format:
```
20
Lattice="9.852 -0.383 -0.287 0.249 7.771 -1.826 0.249 0.444 7.970" Properties=species:S:1:pos:R:3 pbc="T T T"
La 5.830 6.034 -1.224
La 9.446 7.111 -0.419
La 4.520 1.799 7.082
La 0.903 0.721 6.277
La 8.502 3.035 -0.455
La 6.774 7.220 2.675
La 1.848 4.797 6.313
La 3.576 0.613 3.183
La 5.904 3.585 4.583
La 9.373 2.232 3.570
La 4.446 4.248 1.275
La 0.977 5.600 2.288
In 8.798 5.517 4.787
In 6.477 1.490 1.775
In 1.551 2.316 1.071
In 3.873 6.343 4.083
Ga 2.713 7.057 -1.071
Ga 7.637 0.776 6.929
Ga 2.713 3.394 3.827
Ga 7.637 4.439 2.031
```


[3]
This record from the Alexandria database describes crystalline La5InGa4 at its relaxed geometry. The functional is GGA-PBE.

Mass density, g cm⁻³: 6.535
M_tot, μB/atom: 0.000
Total energy, eV per cell: -45.1
Formation energy from the elements, meV/atom: -557.3

The structure in extended XYZ format:
```
10
Lattice="3.786 0.000 0.000 0.000 3.786 0.000 0.000 0.000 19.294" Properties=species:S:1:pos:R:3 pbc="T T T"
La 1.893 1.893 2.137
La 1.893 1.893 5.892
La 1.893 1.893 9.647
La 1.893 1.893 13.402
La 1.893 1.893 17.156
In 0.000 0.000 0.000
Ga 0.000 0.000 4.006
Ga 0.000 0.000 7.765
Ga 0.000 0.000 11.529
Ga 0.000 0.000 15.288
```


[4]
This record from the Alexandria database describes crystalline La5InGa2 at its relaxed geometry. The functional is GGA-PBE.

Mass density, g cm⁻³: 6.299
M_tot, μB/atom: 0.000
Total energy, eV per cell: -74.0
Formation energy from the elements, meV/atom: -448.1

The structure in extended XYZ format:
```
16
Lattice="-3.006 4.771 5.941 -7.615 -1.662 -2.518 5.072 -7.424 2.881" Properties=species:S:1:pos:R:3 pbc="T T T"
La -3.180 -3.875 3.453
La -8.391 0.121 3.254
La 0.000 0.000 0.000
La -5.310 1.555 1.712
La 2.843 -4.435 3.050
La 0.163 -2.307 5.631
La -0.500 -6.004 0.872
La -5.711 -2.008 0.673
La -5.049 1.689 5.432
La -2.368 -0.439 2.851
In -5.429 -1.380 4.008
In -0.119 -2.934 2.296
Ga -3.268 -0.078 -0.269
Ga -2.746 2.749 3.371
Ga -7.875 0.360 0.052
Ga -7.353 3.187 3.692
```


[5]
This record from the Alexandria database describes crystalline LaInGa at its relaxed geometry. The functional is GGA-PBE.

Excess energy over the best structure of this formula in the dataset, meV/atom: 0.0
Mass density, g cm⁻³: 6.612
M_tot, μB/atom: 0.000
Total energy, eV per cell: -12.4
Formation energy from the elements, meV/atom: -563.7

The structure in extended XYZ format:
```
3
Lattice="-3.239 -1.373 -2.708 2.978 -2.748 -2.170 -2.360 -1.570 3.619" Properties=species:S:1:pos:R:3 pbc="T T T"
In -0.377 -0.160 -0.315
Ga -1.351 -2.290 1.045
La -0.892 -3.242 -1.988
```


[6]
This record from the Alexandria database describes crystalline La4InGa3 at its relaxed geometry. The functional is GGA-PBE.

Mass density, g cm⁻³: 6.545
M_tot, μB/atom: 0.000
Total energy, eV per cell: -35.9
Formation energy from the elements, meV/atom: -545.1

The structure in extended XYZ format:
```
8
Lattice="-3.489 1.103 3.978 -4.566 -2.855 0.458 1.451 -6.360 6.707" Properties=species:S:1:pos:R:3 pbc="T T T"
In 0.000 0.000 0.000
Ga -1.692 -1.971 2.735
Ga -4.912 -6.141 8.409
Ga -3.302 -4.056 5.572
La -6.446 -4.000 6.471
La -1.809 -6.141 7.460
La -0.158 -4.113 4.673
La -4.795 -1.971 3.684
```


[7]
This record from the Alexandria database describes crystalline La3InGa3 at its relaxed geometry. The functional is GGA-PBE.

Mass density, g cm⁻³: 6.506
M_tot, μB/atom: 0.000
Total energy, eV per cell: -61.4
Formation energy from the elements, meV/atom: -588.7

The structure in extended XYZ format:
```
14
Lattice="-0.249 0.846 -4.531 -5.932 0.674 -1.899 0.302 14.249 0.294" Properties=species:S:1:pos:R:3 pbc="T T T"
La -2.036 9.605 -2.796
La -3.844 6.165 -3.339
La -1.436 3.570 -1.605
La -4.444 12.199 -4.530
La -1.556 13.820 -2.035
La -4.324 1.950 -4.101
In -0.422 6.346 -3.494
In -5.458 9.424 -2.642
Ga -4.239 8.986 -5.142
Ga -1.641 6.783 -0.994
Ga -4.968 13.806 -1.850
Ga -0.912 1.964 -4.286
Ga -4.977 4.520 -5.936
Ga -0.903 11.250 -0.200
```


[8]
This record from the Alexandria database describes crystalline La3In2Ga2 at its relaxed geometry. The functional is GGA-PBE.

Mass density, g cm⁻³: 6.433
M_tot, μB/atom: 0.000
Total energy, eV per cell: -30.2
Formation energy from the elements, meV/atom: -560.3

The structure in extended XYZ format:
```
7
Lattice="-2.569 3.062 -1.370 1.585 -3.798 -4.944 -6.436 -3.267 4.765" Properties=species:S:1:pos:R:3 pbc="T T T"
La -2.038 -2.517 -1.804
La -5.381 -1.486 0.254
La -1.284 1.531 -0.685
In -5.276 -2.759 -2.787
In -2.144 -1.245 1.237
Ga -1.454 -0.068 -3.938
Ga -5.965 -3.936 2.389
```


[9]
This record from the Alexandria database describes crystalline La4InGa2 at its relaxed geometry. The functional is GGA-PBE.

Excess energy over the best structure of this formula in the dataset, meV/atom: 136.6
Mass density, g cm⁻³: 5.609
M_tot, μB/atom: 0.000
Total energy, eV per cell: -61.0
Formation energy from the elements, meV/atom: -282.4

The structure in extended XYZ format:
```
14
Lattice="8.397 -1.244 -0.189 -1.844 8.300 0.175 -3.141 -3.664 7.116" Properties=species:S:1:pos:R:3 pbc="T T T"
La 6.402 -0.173 2.200
La 1.142 3.010 1.254
La 4.627 1.477 4.717
La 3.952 -2.907 4.658
La 2.086 -1.161 2.267
La -0.227 -2.301 5.850
La 0.449 2.081 5.911
La 5.458 3.999 1.185
In -0.855 4.082 3.642
In -1.844 8.300 0.176
Ga 2.200 -0.413 5.284
Ga 2.850 5.569 1.815
Ga 3.772 1.419 1.725
Ga -1.999 0.210 5.380
```


[10]
This record from the Alexandria database describes crystalline LaInGa4 at its relaxed geometry. The functional is GGA-PBE.

Mass density, g cm⁻³: 6.682
M_tot, μB/atom: 0.000
Total energy, eV per cell: -21.3
Formation energy from the elements, meV/atom: -260.8

The structure in extended XYZ format:
```
6
Lattice="5.720 0.000 0.000 2.860 4.954 0.000 2.860 1.651 4.671" Properties=species:S:1:pos:R:3 pbc="T T T"
In 0.000 0.000 0.000
Ga 5.720 3.303 0.583
Ga 5.720 1.651 2.919
Ga 7.151 4.129 2.919
Ga 4.290 4.129 2.919
La 2.860 1.651 1.168
```


[11]
This record from the Alexandria database describes crystalline La2In3Ga at its relaxed geometry. The functional is GGA-PBE.

Excess energy over the best structure of this formula in the dataset, meV/atom: 0.0
Mass density, g cm⁻³: 7.041
M_tot, μB/atom: 0.000
Total energy, eV per cell: -24.2
Formation energy from the elements, meV/atom: -515.6

The structure in extended XYZ format:
```
6
Lattice="-1.110 -3.669 0.284 3.640 -0.851 3.236 -5.255 2.092 6.461" Properties=species:S:1:pos:R:3 pbc="T T T"
La 1.767 -0.404 1.683
La -2.586 1.029 3.180
In -4.935 -0.091 5.528
In -1.466 -1.472 1.262
In -2.196 -0.883 6.015
Ga -0.482 -1.565 3.908
```


[12]
This record from the Alexandria database describes crystalline LaInGa at its relaxed geometry. The functional is GGA-PBE.

Excess energy over the best structure of this formula in the dataset, meV/atom: 190.5
Mass density, g cm⁻³: 6.886
M_tot, μB/atom: 0.000
Total energy, eV per cell: -11.8
Formation energy from the elements, meV/atom: -373.2

The structure in extended XYZ format:
```
3
Lattice="3.587 0.000 0.000 0.000 3.587 0.000 -1.794 -1.794 6.061" Properties=species:S:1:pos:R:3 pbc="T T T"
La 1.794 1.794 1.520
Ga 0.000 0.000 3.601
In 1.794 1.794 5.183
```


[13]
This record from the Alexandria database describes crystalline La3InGa at its relaxed geometry. The functional is GGA-PBE.

Excess energy over the best structure of this formula in the dataset, meV/atom: 367.3
Mass density, g cm⁻³: 5.326
M_tot, μB/atom: 0.000
Total energy, eV per cell: -21.0
Formation energy from the elements, meV/atom: -89.1

The structure in extended XYZ format:
```
5
Lattice="-4.175 3.820 -0.858 -3.912 -4.019 1.142 0.160 1.419 5.542" Properties=species:S:1:pos:R:3 pbc="T T T"
In -3.963 0.610 2.913
Ga 0.000 0.000 0.000
La -1.956 -2.009 0.571
La 0.080 0.710 2.771
La -2.087 1.910 -0.429
```


[14]
This record from the Alexandria database describes crystalline La14InGa at its relaxed geometry. The functional is GGA-PBE.

Mass density, g cm⁻³: 6.538
M_tot, μB/atom: 0.000
Total energy, eV per cell: -75.8
Formation energy from the elements, meV/atom: -67.3

The structure in extended XYZ format:
```
16
Lattice="8.458 -0.018 0.000 0.018 8.458 0.000 0.000 0.000 7.560" Properties=species:S:1:pos:R:3 pbc="T T T"
La 7.417 7.385 0.000
La 3.179 3.165 0.000
La 7.408 3.156 3.780
La 7.407 3.156 0.000
La 3.188 7.394 3.780
La 3.188 7.394 0.000
La 5.242 1.093 2.120
La 5.242 1.093 5.440
La 1.116 5.237 2.120
La 1.116 5.237 5.440
La 5.251 5.228 2.120
La 5.251 5.228 5.440
La 1.107 1.102 2.120
La 1.107 1.102 5.440
In 7.417 7.385 3.780
Ga 3.179 3.165 3.780
```


[15]
This record from the Alexandria database describes crystalline La2In8Ga at its relaxed geometry. The functional is GGA-PBE.

Mass density, g cm⁻³: 7.025
M_tot, μB/atom: 0.000
Total energy, eV per cell: -38.3
Formation energy from the elements, meV/atom: -321.9

The structure in extended XYZ format:
```
11
Lattice="-4.580 0.442 -1.619 1.085 -2.807 -3.838 -3.300 -10.225 6.546" Properties=species:S:1:pos:R:3 pbc="T T T"
In -1.107 -6.516 1.354
In -3.940 -4.891 2.464
In -2.787 -4.404 -0.666
In -4.007 -8.186 1.756
In 0.121 -2.710 -1.082
In -2.711 -1.085 0.027
In -2.336 -10.322 3.791
In -5.168 -8.697 4.901
Ga 0.000 0.000 0.000
La -1.028 -3.185 2.039
La -2.272 -7.040 4.507
```


[16]
This record from the Alexandria database describes crystalline La11In9Ga4 at its relaxed geometry. The functional is GGA-PBE.

Mass density, g cm⁻³: 6.798
M_tot, μB/atom: 0.000
Total energy, eV per cell: -104.0
Formation energy from the elements, meV/atom: -542.3

The structure in extended XYZ format:
```
24
Lattice="4.433 0.000 0.000 0.000 11.996 -5.042 0.000 0.078 13.013" Properties=species:S:1:pos:R:3 pbc="T T T"
La 0.000 7.118 9.229
La 0.000 4.957 -1.258
La 0.000 11.284 2.919
La 0.000 0.791 5.052
La 0.000 7.604 1.612
La 0.000 4.471 6.359
La 0.000 9.985 -1.995
La 0.000 2.090 9.966
La 0.000 0.000 0.000
La 0.000 8.488 5.603
La 0.000 3.586 2.368
In 2.217 7.531 -1.095
In 2.217 4.543 9.066
In 2.217 1.953 7.356
In 2.217 10.122 0.615
In 2.217 9.485 8.184
In 2.217 2.590 -0.213
In 2.217 11.253 5.506
In 2.217 0.822 2.465
In 2.217 6.037 3.985
Ga 2.217 6.676 6.996
Ga 2.217 5.399 0.975
Ga 2.217 9.057 3.390
Ga 2.217 3.018 4.581
```


[17]
This record from the Alexandria database describes crystalline LaIn2Ga at its relaxed geometry. The functional is GGA-PBE.

Mass density, g cm⁻³: 7.051
M_tot, μB/atom: 0.000
Total energy, eV per cell: -30.3
Formation energy from the elements, meV/atom: -427.9

The structure in extended XYZ format:
```
8
Lattice="-3.365 -3.410 -0.451 1.289 -1.835 4.257 -4.870 7.914 2.167" Properties=species:S:1:pos:R:3 pbc="T T T"
La -1.570 1.406 1.082
La -5.376 1.263 4.891
In 0.644 -0.918 2.129
In -1.682 -1.705 -0.226
In -4.260 3.816 2.935
In -2.686 -1.146 3.038
Ga -2.310 1.728 4.164
Ga -4.637 0.941 1.809
```


[18]
This record from the Alexandria database describes crystalline La2In3Ga at its relaxed geometry. The functional is GGA-PBE.

Excess energy over the best structure of this formula in the dataset, meV/atom: 3.0
Mass density, g cm⁻³: 7.024
M_tot, μB/atom: 0.000
Total energy, eV per cell: -48.3
Formation energy from the elements, meV/atom: -512.6

The structure in extended XYZ format:
```
12
Lattice="6.028 -0.222 -1.736 -1.756 5.771 -1.736 0.173 0.224 9.370" Properties=species:S:1:pos:R:3 pbc="T T T"
La 0.276 4.385 2.949
La 3.203 4.161 -2.604
La 4.169 1.389 2.949
La 1.069 1.388 -0.869
In 0.629 4.751 -0.433
In 0.013 3.951 6.330
In 3.816 1.023 6.330
In 4.432 1.823 -0.433
In 0.786 1.021 2.599
In 3.659 4.753 3.299
Ga 2.906 3.775 0.810
Ga 1.539 1.999 5.088
```


[19]
This record from the Alexandria database describes crystalline La4In2Ga at its relaxed geometry. The functional is GGA-PBE.

Mass density, g cm⁻³: 6.169
M_tot, μB/atom: 0.000
Total energy, eV per cell: -30.7
Formation energy from the elements, meV/atom: -359.9

The structure in extended XYZ format:
```
7
Lattice="-0.795 0.367 5.400 -4.358 -2.385 2.292 2.982 -8.110 3.762" Properties=species:S:1:pos:R:3 pbc="T T T"
In -1.642 -7.573 8.587
In -0.529 -2.554 2.867
Ga 0.000 0.000 0.000
La -3.398 -4.795 8.140
La 1.227 -5.332 3.314
La -2.830 -2.303 5.282
La 0.659 -7.824 6.172
```


[20]
This record from the Alexandria database describes crystalline La3InGa at its relaxed geometry. The functional is GGA-PBE.

Excess energy over the best structure of this formula in the dataset, meV/atom: 0.0
Mass density, g cm⁻³: 6.569
M_tot, μB/atom: 0.000
Total energy, eV per cell: -45.7
Formation energy from the elements, meV/atom: -456.4

The structure in extended XYZ format:
```
10
Lattice="-4.496 -2.933 -2.831 -0.210 -1.914 5.756 -3.019 8.800 0.463" Properties=species:S:1:pos:R:3 pbc="T T T"
La -3.665 5.871 3.845
La -4.059 -1.918 -0.458
La -1.844 1.888 0.151
La -3.959 4.386 0.911
La -5.881 2.065 3.236
La -3.766 -0.433 2.477
In -5.188 1.458 -0.295
In -2.536 2.495 3.682
Ga -3.530 -3.636 2.191
Ga -1.175 -1.211 0.734
```


[21]
This record from the Alexandria database describes crystalline La6InGa5 at its relaxed geometry. The functional is GGA-PBE.

Mass density, g cm⁻³: 6.515
M_tot, μB/atom: 0.000
Total energy, eV per cell: -54.1
Formation energy from the elements, meV/atom: -553.1

The structure in extended XYZ format:
```
12
Lattice="5.142 0.002 -1.589 -0.834 7.060 -2.690 0.041 -0.537 9.316" Properties=species:S:1:pos:R:3 pbc="T T T"
In 0.000 0.000 0.000
Ga 1.073 5.561 3.524
Ga 2.891 4.536 0.269
Ga -0.417 3.530 -1.345
Ga 1.458 1.989 4.767
Ga 3.276 0.963 1.513
La 0.536 2.821 1.761
La 0.128 6.281 0.443
La 2.395 1.302 7.821
La 1.955 5.223 -2.784
La 4.222 0.243 4.594
La 3.813 3.704 3.275
```


[22]
This record from the Alexandria database describes crystalline LaMnInGa2 at its relaxed geometry. The functional is GGA-PBE.

Excess energy over the best structure of this formula in the dataset, meV/atom: 0.0
Mass density, g cm⁻³: 6.839
M_tot, μB/atom: 0.001
Total energy, eV per cell: -24.3
Formation energy from the elements, meV/atom: -272.7

The structure in extended XYZ format:
```
5
Lattice="-4.464 -1.454 -0.117 0.708 -1.832 -4.266 1.339 -4.277 2.059" Properties=species:S:1:pos:R:3 pbc="T T T"
Mn 0.000 0.000 0.000
In 0.670 -2.139 1.030
Ga 0.354 -0.916 -2.133
Ga -2.232 -0.727 -0.058
La -1.208 -3.782 -1.162
```